Entry from Alexandria via LeMat-Bulk: a geometry-optimized MgIn12Bi3 structure (PBE-GGA).

Results
- ρ: 7.5 Mg/m³
- Total magnetic moment: 0.00 μB per atom
- E_form: 14 meV/atom

Cell lengths 4.9481, 4.9481, 18.3878 Å; angles 90.00, 90.00, 90.00 degrees
Fractional coordinates of all 16 atoms:
In1 0.0000 0.5000 0.8841
In2 0.0000 0.5000 0.1159
In3 0.5000 0.0000 0.6289
In4 0.0000 0.5000 0.6289
In5 0.5000 0.0000 0.8841
In6 0.5000 0.5000 0.5000
Bi1 0.0000 0.0000 0.5000
In7 0.0000 0.5000 0.3711
In8 0.5000 0.5000 0.2445
Bi2 0.0000 0.0000 0.7590
Bi3 0.0000 0.0000 0.2410
In9 0.5000 0.0000 0.3711
In10 0.5000 0.5000 0.7555
Mg1 0.0000 0.0000 0.0000
In11 0.5000 0.0000 0.1159
In12 0.5000 0.5000 0.0000

Entry from Alexandria via LeMat-Bulk: a geometry-optimized Mg6In5Bi structure (PBE-GGA).

Results
- ρ: 5.3 Mg/m³
- Total magnetic moment: 0.00 μB per atom
- E_form: -88 meV/atom

Cell lengths 4.7092, 8.6245, 8.6245 Å; angles 109.43, 105.94, 105.94 degrees
Fractional coordinates of all 12 atoms:
In1 0.5000 0.1728 0.8272
Mg1 0.2521 0.4194 0.0827
In2 0.0000 0.6639 0.3361
In3 0.5000 0.5000 0.5000
In4 0.5000 0.8272 0.1728
Mg2 0.7479 0.9173 0.5806
In5 0.0000 0.3361 0.6639
Mg3 0.7479 0.5806 0.9173
Bi1 0.0000 0.0000 0.0000
Mg4 0.7567 0.2545 0.2545
Mg5 0.2433 0.7455 0.7455
Mg6 0.2521 0.0827 0.4194

Entry from Alexandria via LeMat-Bulk: a geometry-optimized Mg3InBi2 structure (PBE-GGA).

Results
- ρ: 6.3 Mg/m³
- Total magnetic moment: 0.00 μB per atom
- E_form: -65 meV/atom

Cell lengths 6.3933, 6.7991, 8.2173 Å; angles 102.32, 112.89, 90.00 degrees
Fractional coordinates of all 12 atoms:
Mg1 0.1584 0.5837 0.3165
Mg2 0.1582 0.0837 0.3165
Mg3 0.8416 0.4163 0.6835
Bi1 0.3400 0.4293 0.6774
In1 0.8050 0.7500 0.0000
Mg4 0.8418 0.9163 0.6835
Mg5 0.7138 0.2500 0.0000
Bi2 0.6600 0.5707 0.3226
Bi3 0.3373 0.9293 0.6774
Bi4 0.6627 0.0707 0.3226
In2 0.1950 0.2500 0.0000
Mg6 0.2862 0.7500 0.0000

Entry from Alexandria via LeMat-Bulk: a geometry-optimized Mg3InBi structure (PBE-GGA).

Results
- ρ: 5.3 Mg/m³
- Total magnetic moment: 0.00 μB per atom
- E_form: -107 meV/atom

Cell lengths 6.3976, 9.1182, 8.8422 Å; angles 76.00, 90.00, 90.00 degrees
Fractional coordinates of all 20 atoms:
Bi1 0.7500 0.6290 0.0936
Mg1 0.4969 0.8113 0.7975
Mg2 0.7500 0.3864 0.4039
Mg3 0.7500 0.3864 0.9039
Mg4 0.9970 0.1887 0.2025
Mg5 0.0031 0.8113 0.2975
Bi2 0.2500 0.3710 0.9064
Bi3 0.2500 0.3710 0.4064
Mg6 0.9969 0.1887 0.7025
In1 0.7500 0.0146 0.9951
Mg7 0.2500 0.6136 0.5961
Bi4 0.7500 0.6290 0.5936
Mg8 0.5030 0.1887 0.7025
Mg9 0.5031 0.1887 0.2025
In2 0.2500 0.9854 0.5048
In3 0.7500 0.0146 0.4952
In4 0.2500 0.9854 0.0049
Mg10 0.4970 0.8113 0.2975
Mg11 0.0030 0.8113 0.7975
Mg12 0.2500 0.6136 0.0961

Entry from Alexandria via LeMat-Bulk: a geometry-optimized MgInBi3 structure (PBE-GGA).

Results
- ρ: 7.2 Mg/m³
- Total magnetic moment: 0.00 μB per atom
- E_form: 409 meV/atom

Cell lengths 5.6048, 5.6048, 5.6048 Å; angles 90.00, 90.00, 90.00 degrees
Fractional coordinates of all 5 atoms:
Bi1 0.0000 0.5000 0.0000
Bi2 0.0000 0.0000 0.5000
Bi3 0.5000 0.0000 0.0000
In1 0.5000 0.5000 0.5000
Mg1 0.0000 0.0000 0.0000

Entry from Alexandria via LeMat-Bulk: a geometry-optimized Mg3InBi2 structure (PBE-GGA).

Results
- ρ: 5.5 Mg/m³
- Total magnetic moment: 0.00 μB per atom
- E_form: -63 meV/atom

Cell lengths 8.2614, 6.6017, 8.5250 Å; angles 112.78, 118.98, 90.00 degrees
Fractional coordinates of all 12 atoms:
Mg1 0.7965 0.0465 0.5930
Mg2 0.7965 0.5465 0.5930
Mg3 0.2035 0.9535 0.4070
In1 0.0000 0.5000 0.0000
Mg4 0.5000 0.2500 0.0000
Mg5 0.2035 0.4535 0.4070
Bi1 0.8343 0.1483 0.2966
In2 0.0000 0.0000 0.0000
Bi2 0.5376 0.3517 0.7034
Bi3 0.4624 0.6483 0.2966
Bi4 0.1657 0.8517 0.7034
Mg6 0.5000 0.7500 0.0000

Entry from Alexandria via LeMat-Bulk: a geometry-optimized Mg2InBi2 structure (PBE-GGA).

Results
- ρ: 6.9 Mg/m³
- Total magnetic moment: 0.00 μB per atom
- E_form: -70 meV/atom

Cell lengths 8.9395, 8.9395, 3.5200 Å; angles 90.00, 90.00, 90.00 degrees
Fractional coordinates of all 10 atoms:
In1 0.5000 0.5000 0.0000
Mg1 0.6323 0.1323 0.0000
Bi1 0.6643 0.8357 0.5000
Mg2 0.1323 0.3677 0.0000
Bi2 0.3357 0.1643 0.5000
Bi3 0.1643 0.6643 0.5000
Mg3 0.3677 0.8677 0.0000
Mg4 0.8677 0.6323 0.0000
Bi4 0.8357 0.3357 0.5000
In2 0.0000 0.0000 0.0000

Entry from Alexandria via LeMat-Bulk: a geometry-optimized Mg2In5Bi4 structure (PBE-GGA).

Results
- ρ: 7.5 Mg/m³
- Total magnetic moment: 0.00 μB per atom
- E_form: -10 meV/atom

Cell lengths 3.4354, 8.6136, 10.8964 Å; angles 84.73, 90.00, 90.00 degrees
Fractional coordinates of all 11 atoms:
In1 0.0000 0.8214 0.1472
Bi1 0.5000 0.8206 0.8705
Mg1 0.0000 0.0671 0.3603
Mg2 0.0000 0.9329 0.6397
In2 0.0000 0.4568 0.3112
In3 0.0000 0.1786 0.8528
Bi2 0.5000 0.2414 0.5559
In4 0.0000 0.5432 0.6888
Bi3 0.5000 0.7586 0.4441
Bi4 0.5000 0.1794 0.1295
In5 0.0000 0.5000 0.0000

Entry from Alexandria via LeMat-Bulk: a geometry-optimized Mg2In3Bi4 structure (PBE-GGA).

Results
- ρ: 7.7 Mg/m³
- Total magnetic moment: 0.00 μB per atom
- E_form: -16 meV/atom

Cell lengths 3.4990, 9.0276, 8.8676 Å; angles 77.20, 78.62, 78.83 degrees
Fractional coordinates of all 9 atoms:
In1 0.3778 0.5672 0.6772
Bi1 0.9285 0.7849 0.3580
In2 0.6222 0.4328 0.3228
Mg1 0.2904 0.0780 0.3413
Bi2 0.6720 0.6932 0.9628
Bi3 0.0715 0.2151 0.6420
In3 0.0000 0.0000 0.0000
Bi4 0.3280 0.3068 0.0372
Mg2 0.7096 0.9220 0.6587

Entry from Alexandria via LeMat-Bulk: a geometry-optimized Mg3In2Bi3 structure (PBE-GGA).

Results
- ρ: 6.0 Mg/m³
- Total magnetic moment: 0.00 μB per atom
- E_form: -21 meV/atom

Cell lengths 7.0096, 5.8007, 17.5518 Å; angles 89.88, 46.34, 89.23 degrees
Fractional coordinates of all 16 atoms:
Mg1 0.5049 0.7249 0.3287
Mg2 0.6569 0.2861 0.4085
Bi1 0.1370 0.2137 0.6366
Mg3 0.3431 0.7139 0.5915
Bi2 0.5903 0.2178 0.2495
Mg4 0.4951 0.2751 0.6713
Bi3 0.4097 0.7822 0.7505
Bi4 0.1230 0.2384 0.9349
Mg5 0.6501 0.4831 0.8034
Bi5 0.8770 0.7616 0.0651
In1 0.9323 0.7504 0.5230
Mg6 0.3499 0.5169 0.1966
In2 0.1787 0.4139 0.0879
In3 0.8213 0.5861 0.9121
In4 0.0677 0.2496 0.4770
Bi6 0.8630 0.7863 0.3634

Entry from Alexandria via LeMat-Bulk: a geometry-optimized Mg2In3Bi2 structure (PBE-GGA).

Results
- ρ: 7.0 Mg/m³
- Total magnetic moment: 0.00 μB per atom
- E_form: -41 meV/atom

Cell lengths 4.7916, 6.1007, 7.1864 Å; angles 92.17, 90.01, 113.12 degrees
Fractional coordinates of all 7 atoms:
Bi1 0.5943 0.1886 0.6963
Mg1 0.8642 0.7284 0.5793
In1 0.2984 0.5969 0.8529
In2 0.0000 0.0000 0.0000
Mg2 0.1358 0.2716 0.4207
Bi2 0.4057 0.8114 0.3037
In3 0.7016 0.4031 0.1471

Entry from Alexandria via LeMat-Bulk: a geometry-optimized Mg5InBi4 structure (PBE-GGA).

Results
- ρ: 5.8 Mg/m³
- Total magnetic moment: 0.00 μB per atom
- E_form: -124 meV/atom

Cell lengths 4.6850, 7.2735, 9.2638 Å; angles 88.72, 104.65, 90.00 degrees
Fractional coordinates of all 10 atoms:
Mg1 0.8163 0.5065 0.6326
Bi1 0.9473 0.7361 0.8947
Bi2 0.3265 0.2472 0.6530
Mg2 0.1830 0.0154 0.3661
Bi3 0.0526 0.2639 0.1053
Bi4 0.6735 0.7529 0.3470
Mg3 0.5000 0.5000 0.0000
Mg4 0.8169 0.9846 0.6339
Mg5 0.1837 0.4935 0.3674
In1 0.5000 0.0000 0.0000

Entry from Alexandria via LeMat-Bulk: a geometry-optimized Mg3In2Bi structure (PBE-GGA).

Results
- ρ: 5.7 Mg/m³
- Total magnetic moment: 0.00 μB per atom
- E_form: -85 meV/atom

Cell lengths 3.3280, 3.3280, 13.4856 Å; angles 90.00, 90.00, 90.00 degrees
Fractional coordinates of all 6 atoms:
In1 0.5000 0.5000 0.1633
Mg1 0.0000 0.0000 0.6778
Mg2 0.0000 0.0000 0.3222
Bi1 0.5000 0.5000 0.5000
In2 0.5000 0.5000 0.8367
Mg3 0.0000 0.0000 0.0000

Entry from Alexandria via LeMat-Bulk: a geometry-optimized Mg2InBi2 structure (PBE-GGA).

Results
- ρ: 6.7 Mg/m³
- Total magnetic moment: 0.00 μB per atom
- E_form: -111 meV/atom

Cell lengths 4.5010, 8.0446, 9.1973 Å; angles 120.15, 90.00, 90.00 degrees
Fractional coordinates of all 10 atoms:
Bi1 0.2500 0.2249 0.0111
Mg1 0.7500 0.1964 0.2438
In1 0.7500 0.1469 0.6756
In2 0.2500 0.8531 0.3244
Bi2 0.2500 0.3057 0.4979
Mg2 0.2500 0.8036 0.7562
Mg3 0.2500 0.4877 0.8703
Mg4 0.7500 0.5123 0.1297
Bi3 0.7500 0.6943 0.5021
Bi4 0.7500 0.7751 0.9889

Entry from Alexandria via LeMat-Bulk: a geometry-optimized Mg4InBi2 structure (PBE-GGA).

Results
- ρ: 5.6 Mg/m³
- Total magnetic moment: 0.00 μB per atom
- E_form: -78 meV/atom

Cell lengths 7.6400, 6.0843, 9.1114 Å; angles 90.00, 118.10, 90.00 degrees
Fractional coordinates of all 14 atoms:
Mg1 0.5499 0.4963 0.2943
Mg2 0.2035 0.7500 0.8499
Mg3 0.7965 0.2500 0.1501
Mg4 0.9538 0.2500 0.5495
Mg5 0.4501 0.9963 0.7057
Bi1 0.2374 0.2500 0.3745
Bi2 0.7037 0.7500 0.0763
Mg6 0.5499 0.0037 0.2943
In1 0.1458 0.7500 0.1559
Bi3 0.2963 0.2500 0.9237
In2 0.8542 0.2500 0.8441
Bi4 0.7626 0.7500 0.6255
Mg7 0.4501 0.5037 0.7057
Mg8 0.0462 0.7500 0.4505

Entry from Alexandria via LeMat-Bulk: a geometry-optimized MgIn9Bi2 structure (PBE-GGA).

Results
- ρ: 7.4 Mg/m³
- Total magnetic moment: 0.00 μB per atom
- E_form: 10 meV/atom

Cell lengths 4.7010, 4.7010, 15.0468 Å; angles 90.00, 90.00, 90.00 degrees
Fractional coordinates of all 12 atoms:
Mg1 0.0000 0.0000 0.0000
In1 0.0000 0.5000 0.1569
In2 0.0000 0.5000 0.5000
In3 0.5000 0.0000 0.8431
Bi1 0.0000 0.0000 0.6754
Bi2 0.0000 0.0000 0.3246
In4 0.5000 0.0000 0.1569
In5 0.5000 0.5000 0.0000
In6 0.0000 0.5000 0.8431
In7 0.5000 0.5000 0.3328
In8 0.5000 0.5000 0.6672
In9 0.5000 0.0000 0.5000

Entry from Alexandria via LeMat-Bulk: a geometry-optimized MgInBiN2 structure (PBE-GGA).

Results
- Raw formation energy: 1.456 eV/atom
- ρ: 5.5 Mg/m³
- Total magnetic moment: 0.00 μB per atom

Cell lengths 4.4130, 5.8058, 4.4130 Å; angles 90.00, 90.00, 90.00 degrees
Fractional coordinates of all 5 atoms:
Mg1 0.0000 0.5000 0.0000
N1 0.5000 0.0000 0.0000
N2 0.0000 0.0000 0.5000
In1 0.5000 0.5000 0.5000
Bi1 0.0000 0.0000 0.0000

Entry from Alexandria via LeMat-Bulk: a geometry-optimized NaMgInBi2 structure (PBE-GGA).

Results
- ρ: 6.0 Mg/m³
- Total magnetic moment: 0.00 μB per atom
- E_form: -218 meV/atom

Cell lengths 4.8160, 4.8160, 8.0588 Å; angles 90.00, 90.00, 120.00 degrees
Fractional coordinates of all 5 atoms:
Bi1 0.6667 0.3333 0.7621
Na1 0.0000 0.0000 0.0249
In1 0.3333 0.6667 0.6115
Mg1 0.6667 0.3333 0.3623
Bi2 0.3333 0.6667 0.2393

Entry from Alexandria via LeMat-Bulk: a geometry-optimized NaMgInBi structure (PBE-GGA).

Results
- ρ: 5.7 Mg/m³
- Total magnetic moment: 0.00 μB per atom
- E_form: -142 meV/atom

Cell lengths 3.6129, 3.6129, 8.3437 Å; angles 89.96, 90.04, 89.99 degrees
Fractional coordinates of all 4 atoms:
Na1 0.6463 0.3537 0.9651
Bi1 0.1465 0.8535 0.2469
Mg1 0.6452 0.3548 0.4795
In1 0.1469 0.8531 0.6972

Entry from Alexandria via LeMat-Bulk: a geometry-optimized NaMgInBi structure (PBE-GGA).

Results
- ρ: 5.7 Mg/m³
- Total magnetic moment: 0.00 μB per atom
- E_form: -161 meV/atom

Cell lengths 5.3577, 5.3577, 5.3577 Å; angles 60.00, 60.00, 60.00 degrees
Fractional coordinates of all 4 atoms:
Na1 0.0000 0.0000 0.0000
In1 0.2500 0.2500 0.2500
Bi1 0.7500 0.7500 0.7500
Mg1 0.5000 0.5000 0.5000